P | Density functional theory data (GGA-PBE) for an optimized crystal structure of FeTcHgGe.

a b c (Å): 4.5299 4.5299 4.5299
angles (deg): 60.00 60.00 60.00
Fractional coordinates of all 4 atoms:
Fe: 0.0000 0.0000 0.0000
Tc: 0.2500 0.2500 0.2500
Hg: 0.5000 0.5000 0.5000
Ge: 0.7500 0.7500 0.7500

Values from the calculation:
* magnetization: 0.948 μB/atom

---

Q | Density functional theory data (GGA-PBE) for an optimized crystal structure of FeTcHgGe.

a b c (Å): 4.4458 4.4458 4.4458
angles (deg): 60.00 60.00 60.00
Fractional coordinates of all 4 atoms:
Fe: 0.0000 0.0000 0.0000
Tc: 0.5000 0.5000 0.5000
Hg: 0.2500 0.2500 0.2500
Ge: 0.7500 0.7500 0.7500

Values from the calculation:
* magnetization: 0.618 μB/atom

---

The least stable of them is P.

---

P | Density functional theory data (GGA-PBE) for an optimized crystal structure of ZrFeHgGe.

a b c (Å): 4.6651 4.6651 4.6651
angles (deg): 60.00 60.00 60.00
Fractional coordinates of all 4 atoms:
Zr: 0.0000 0.0000 0.0000
Fe: 0.5000 0.5000 0.5000
Hg: 0.7500 0.7500 0.7500
Ge: 0.2500 0.2500 0.2500

Values from the calculation:
* magnetization: 0.512 μB/atom

---

Q | Density functional theory data (GGA-PBE) for an optimized crystal structure of ZrFeHgGe.

a b c (Å): 4.6907 4.6907 4.6907
angles (deg): 60.00 60.00 60.00
Fractional coordinates of all 4 atoms:
Zr: 0.0000 0.0000 0.0000
Fe: 0.7500 0.7500 0.7500
Hg: 0.2500 0.2500 0.2500
Ge: 0.5000 0.5000 0.5000

Values from the calculation:
* magnetization: 0.402 μB/atom

---

The least stable of them is Q.

---

P | Density functional theory data (GGA-PBE) for an optimized crystal structure of LuFeGeIr.

a b c (Å): 4.5796 4.5796 4.5796
angles (deg): 60.00 60.00 60.00
Fractional coordinates of all 4 atoms:
Lu: 0.0000 0.0000 0.0000
Fe: 0.5000 0.5000 0.5000
Ge: 0.2500 0.2500 0.2500
Ir: 0.7500 0.7500 0.7500

Values from the calculation:
* magnetization: 0.856 μB/atom

---

Q | Density functional theory data (GGA-PBE) for an optimized crystal structure of LuFeGeIr.

a b c (Å): 4.4238 4.4238 4.4238
angles (deg): 60.00 60.00 60.00
Fractional coordinates of all 4 atoms:
Lu: 0.0000 0.0000 0.0000
Fe: 0.7500 0.7500 0.7500
Ge: 0.5000 0.5000 0.5000
Ir: 0.2500 0.2500 0.2500

Values from the calculation:
* magnetization: 0.004 μB/atom

---

The least stable of them is P.

---

P | Density functional theory data (GGA-PBE) for an optimized crystal structure of FeNiGeIr.

a b c (Å): 4.1688 4.1688 4.1688
angles (deg): 60.00 60.00 60.00
Fractional coordinates of all 4 atoms:
Fe: 0.0000 0.0000 0.0000
Ni: 0.2500 0.2500 0.2500
Ge: 0.7500 0.7500 0.7500
Ir: 0.5000 0.5000 0.5000

Values from the calculation:
* magnetization: 0.676 μB/atom

---

Q | Density functional theory data (GGA-PBE) for an optimized crystal structure of FeNiGeIr.

a b c (Å): 4.1601 4.1601 4.1601
angles (deg): 60.00 60.00 60.00
Fractional coordinates of all 4 atoms:
Fe: 0.0000 0.0000 0.0000
Ni: 0.5000 0.5000 0.5000
Ge: 0.7500 0.7500 0.7500
Ir: 0.2500 0.2500 0.2500

Values from the calculation:
* magnetization: 0.635 μB/atom

---

The least stable of them is Q.

---

P | Density functional theory data (GGA-PBE) for an optimized crystal structure of ScFeGeIr.

a b c (Å): 4.3238 4.3238 4.3238
angles (deg): 60.00 60.00 60.00
Fractional coordinates of all 4 atoms:
Sc: 0.0000 0.0000 0.0000
Fe: 0.7500 0.7500 0.7500
Ge: 0.5000 0.5000 0.5000
Ir: 0.2500 0.2500 0.2500

Values from the calculation:
* magnetization: 0.001 μB/atom

---

Q | Density functional theory data (GGA-PBE) for an optimized crystal structure of ScFeGeIr.

a b c (Å): 4.4591 4.4591 4.4591
angles (deg): 60.00 60.00 60.00
Fractional coordinates of all 4 atoms:
Sc: 0.0000 0.0000 0.0000
Fe: 0.5000 0.5000 0.5000
Ge: 0.2500 0.2500 0.2500
Ir: 0.7500 0.7500 0.7500

Values from the calculation:
* magnetization: 0.851 μB/atom

---

The least stable of them is Q.

---

P | Density functional theory data (GGA-PBE) for an optimized crystal structure of FeGeIrW.

a b c (Å): 4.3352 4.3352 4.3352
angles (deg): 60.00 60.00 60.00
Fractional coordinates of all 4 atoms:
Fe: 0.0000 0.0000 0.0000
Ge: 0.7500 0.7500 0.7500
Ir: 0.2500 0.2500 0.2500
W: 0.5000 0.5000 0.5000

Values from the calculation:
* magnetization: 0.452 μB/atom

---

Q | Density functional theory data (GGA-PBE) for an optimized crystal structure of FeGeIrW.

a b c (Å): 4.3310 4.3310 4.3310
angles (deg): 60.00 60.00 60.00
Fractional coordinates of all 4 atoms:
Fe: 0.0000 0.0000 0.0000
Ge: 0.7500 0.7500 0.7500
Ir: 0.5000 0.5000 0.5000
W: 0.2500 0.2500 0.2500

Values from the calculation:
* magnetization: 0.623 μB/atom

---

The least stable of them is P.

---

P | Density functional theory data (GGA-PBE) for an optimized crystal structure of LaPrFe2Ge4.

a b c (Å): 4.4454 4.2889 8.3370
angles (deg): 90.00 104.46 90.00
Fractional coordinates of all 8 atoms:
La: 0.0000 0.0000 0.0000
Pr: 0.7565 0.5000 0.5806
Fe: 0.2563 0.0000 0.3996
Fe: 0.4978 0.5000 0.1811
Ge: 0.0655 0.5000 0.2911
Ge: 0.3115 0.0000 0.6870
Ge: 0.4440 0.5000 0.8916
Ge: 0.6901 0.0000 0.2915

Values from the calculation:
* magnetization: 0.000 μB/atom

---

Q | Density functional theory data (GGA-PBE) for an optimized crystal structure of LaPrFe2Ge4.

a b c (Å): 4.3242 8.6155 8.6155
angles (deg): 29.35 90.00 90.00
Fractional coordinates of all 8 atoms:
La: 0.0000 0.0000 0.0000
Pr: 0.5000 0.2165 0.2165
Fe: 0.0000 0.7937 0.7937
Fe: 0.5000 0.4230 0.4230
Ge: 0.0000 0.3578 0.3578
Ge: 0.0000 0.6549 0.6549
Ge: 0.5000 0.5626 0.5626
Ge: 0.5000 0.8576 0.8576

Values from the calculation:
* magnetization: 0.345 μB/atom

---

The least stable of them is Q.

---

P | Density functional theory data (GGA-PBE) for an optimized crystal structure of LiFeGeSb.

a b c (Å): 4.6933 4.6933 4.6933
angles (deg): 60.00 60.00 60.00
Fractional coordinates of all 4 atoms:
Li: 0.0000 0.0000 0.0000
Fe: 0.7500 0.7500 0.7500
Ge: 0.5000 0.5000 0.5000
Sb: 0.2500 0.2500 0.2500

Values from the calculation:
* magnetization: 0.617 μB/atom

---

Q | Density functional theory data (GGA-PBE) for an optimized crystal structure of LiFeGeSb.

a b c (Å): 4.4033 4.4033 4.4033
angles (deg): 60.00 60.00 60.00
Fractional coordinates of all 4 atoms:
Li: 0.0000 0.0000 0.0000
Fe: 0.5000 0.5000 0.5000
Ge: 0.7500 0.7500 0.7500
Sb: 0.2500 0.2500 0.2500

Values from the calculation:
* magnetization: 0.001 μB/atom

---

The least stable of them is P.

---

P | Density functional theory data (GGA-PBE) for an optimized crystal structure of LiZrFeGe.

a b c (Å): 4.4144 4.4144 4.4144
angles (deg): 60.00 60.00 60.00
Fractional coordinates of all 4 atoms:
Li: 0.0000 0.0000 0.0000
Zr: 0.2500 0.2500 0.2500
Fe: 0.7500 0.7500 0.7500
Ge: 0.5000 0.5000 0.5000

Values from the calculation:
* magnetization: 0.499 μB/atom

---

Q | Density functional theory data (GGA-PBE) for an optimized crystal structure of LiZrFeGe.

a b c (Å): 4.3159 4.3159 4.3159
angles (deg): 60.00 60.00 60.00
Fractional coordinates of all 4 atoms:
Li: 0.0000 0.0000 0.0000
Zr: 0.7500 0.7500 0.7500
Fe: 0.5000 0.5000 0.5000
Ge: 0.2500 0.2500 0.2500

Values from the calculation:
* magnetization: 0.249 μB/atom

---

The least stable of them is P.

---

P | Density functional theory data (GGA-PBE) for an optimized crystal structure of LuMgFeGe.

a b c (Å): 4.5255 4.5255 4.5255
angles (deg): 60.00 60.00 60.00
Fractional coordinates of all 4 atoms:
Lu: 0.0000 0.0000 0.0000
Mg: 0.2500 0.2500 0.2500
Fe: 0.7500 0.7500 0.7500
Ge: 0.5000 0.5000 0.5000

Values from the calculation:
* magnetization: 0.250 μB/atom

---

Q | Density functional theory data (GGA-PBE) for an optimized crystal structure of LuMgFeGe.

a b c (Å): 4.6461 4.6461 4.6461
angles (deg): 60.00 60.00 60.00
Fractional coordinates of all 4 atoms:
Lu: 0.0000 0.0000 0.0000
Mg: 0.7500 0.7500 0.7500
Fe: 0.5000 0.5000 0.5000
Ge: 0.2500 0.2500 0.2500

Values from the calculation:
* magnetization: 0.459 μB/atom

---

The least stable of them is P.

---

P | Density functional theory data (GGA-PBE) for an optimized crystal structure of LuFeGeMo.

a b c (Å): 4.5540 4.5540 4.5540
angles (deg): 60.00 60.00 60.00
Fractional coordinates of all 4 atoms:
Lu: 0.0000 0.0000 0.0000
Fe: 0.5000 0.5000 0.5000
Ge: 0.2500 0.2500 0.2500
Mo: 0.7500 0.7500 0.7500

Values from the calculation:
* magnetization: 0.735 μB/atom

---

Q | Density functional theory data (GGA-PBE) for an optimized crystal structure of LuFeGeMo.

a b c (Å): 4.4977 4.4977 4.4977
angles (deg): 60.00 60.00 60.00
Fractional coordinates of all 4 atoms:
Lu: 0.0000 0.0000 0.0000
Fe: 0.7500 0.7500 0.7500
Ge: 0.5000 0.5000 0.5000
Mo: 0.2500 0.2500 0.2500

Values from the calculation:
* magnetization: 0.723 μB/atom

---

The least stable of them is P.

---

P | Density functional theory data (GGA-PBE) for an optimized crystal structure of LuFeNiGe.

a b c (Å): 4.3434 4.3434 4.3434
angles (deg): 60.00 60.00 60.00
Fractional coordinates of all 4 atoms:
Lu: 0.0000 0.0000 0.0000
Fe: 0.7500 0.7500 0.7500
Ni: 0.2500 0.2500 0.2500
Ge: 0.5000 0.5000 0.5000

Values from the calculation:
* magnetization: 0.252 μB/atom

---

Q | Density functional theory data (GGA-PBE) for an optimized crystal structure of LuFeNiGe.

a b c (Å): 4.4756 4.4756 4.4756
angles (deg): 60.00 60.00 60.00
Fractional coordinates of all 4 atoms:
Lu: 0.0000 0.0000 0.0000
Fe: 0.5000 0.5000 0.5000
Ni: 0.7500 0.7500 0.7500
Ge: 0.2500 0.2500 0.2500

Values from the calculation:
* magnetization: 0.692 μB/atom

---

The least stable of them is Q.